Record 1
The following is a PBE calculation of crystalline SiBSeN2 at its relaxed geometry, from Alexandria.

Structure (extended XYZ):
```
5
Lattice="3.3444 0.0000 0.0000 0.0000 3.3444 0.0000 0.0000 0.0000 6.9460" Properties=species:S:1:pos:R:3 pbc="T T T"
Si 0.0000 0.0000 0.0000
B 1.6722 1.6722 3.4730
Se 0.0000 0.0000 3.4730
N 0.0000 1.6722 0.0000
N 1.6722 0.0000 0.0000
```

Values from the calculation:
For the total moment, the calculation gives 0.000 μB per formula unit. For the uncorrected formation energy, the calculation gives 4.67 eV per formula unit. The value obtained for the energy above the most stable polymorph in this dataset is 0.0 meV/atom. For the raw total energy, the calculation gives -27.6 eV for the cell shown.


Record 2
The following is a PBE calculation of crystalline SnBSe2N at its relaxed geometry, from Alexandria.

Structure (extended XYZ):
```
5
Lattice="6.2438 0.0000 0.0000 0.0000 6.2438 0.0000 0.0000 0.0000 2.6685" Properties=species:S:1:pos:R:3 pbc="T T T"
Sn 0.0000 0.0000 0.0000
B 3.1219 3.1219 1.3343
Se 0.0000 3.1219 1.3343
Se 3.1219 0.0000 1.3343
N 3.1219 3.1219 0.0000
```

Values from the calculation:
For the total moment, the calculation gives 0.000 μB per formula unit. For the uncorrected formation energy, the calculation gives 0.60 eV per formula unit. The value obtained for the energy above the most stable polymorph in this dataset is 0.0 meV/atom. For the raw total energy, the calculation gives -25.4 eV for the cell shown.


Record 3
The following is a PBE calculation of crystalline SnBSeN2 at its relaxed geometry, from Alexandria.

Structure (extended XYZ):
```
5
Lattice="3.6371 0.0000 0.0000 0.0000 3.6371 0.0000 0.0000 0.0000 4.8619" Properties=species:S:1:pos:R:3 pbc="T T T"
Sn 0.0000 0.0000 0.0000
B 1.8186 1.8186 2.4309
Se 1.8186 1.8186 0.0000
N 0.0000 1.8186 2.4309
N 1.8186 0.0000 2.4309
```

Values from the calculation:
For the total moment, the calculation gives 0.059 μB per formula unit. For the uncorrected formation energy, the calculation gives 7.28 eV per formula unit. The value obtained for the energy above the most stable polymorph in this dataset is 0.0 meV/atom. For the raw total energy, the calculation gives -23.5 eV for the cell shown.


Record 4
The following is a PBE calculation of crystalline SnBSe2N at its relaxed geometry, from Alexandria.

Structure (extended XYZ):
```
5
Lattice="5.3449 0.0000 0.0000 0.0000 5.3449 0.0000 0.0000 0.0000 4.0768" Properties=species:S:1:pos:R:3 pbc="T T T"
Sn 0.0000 0.0000 0.0000
B 2.6725 2.6725 2.0384
Se 0.0000 2.6725 0.0000
Se 2.6725 0.0000 0.0000
N 0.0000 0.0000 2.0384
```

Values from the calculation:
For the total moment, the calculation gives 1.839 μB per formula unit. For the uncorrected formation energy, the calculation gives 8.08 eV per formula unit. The value obtained for the energy above the most stable polymorph in this dataset is 1495.8 meV/atom. For the raw total energy, the calculation gives -17.9 eV for the cell shown.


Record 5
The following is a PBE calculation of crystalline SnBSeN2 at its relaxed geometry, from Alexandria.

Structure (extended XYZ):
```
5
Lattice="4.0511 0.0000 0.0000 0.0000 4.0511 0.0000 0.0000 0.0000 5.7671" Properties=species:S:1:pos:R:3 pbc="T T T"
Sn 0.0000 0.0000 0.0000
B 2.0256 2.0256 2.8836
Se 0.0000 0.0000 2.8836
N 0.0000 2.0256 0.0000
N 2.0256 0.0000 0.0000
```

Values from the calculation:
For the total moment, the calculation gives 2.490 μB per formula unit. For the uncorrected formation energy, the calculation gives 10.18 eV per formula unit. The value obtained for the energy above the most stable polymorph in this dataset is 578.4 meV/atom. For the raw total energy, the calculation gives -20.6 eV for the cell shown.


Record 6
The following is a PBE calculation of crystalline SrBSe2N at its relaxed geometry, from Alexandria.

Structure (extended XYZ):
```
5
Lattice="5.7614 0.0000 0.0000 0.0000 5.7614 0.0000 0.0000 0.0000 4.4886" Properties=species:S:1:pos:R:3 pbc="T T T"
Sr 0.0000 0.0000 0.0000
B 2.8807 2.8807 2.2443
Se 0.0000 2.8807 0.0000
Se 2.8807 0.0000 0.0000
N 0.0000 0.0000 2.2443
```

Values from the calculation:
For the total moment, the calculation gives 3.969 μB per formula unit. For the uncorrected formation energy, the calculation gives 8.62 eV per formula unit. The value obtained for the energy above the most stable polymorph in this dataset is 2057.1 meV/atom. For the raw total energy, the calculation gives -15.0 eV for the cell shown.


Record 7
The following is a PBE calculation of crystalline SrBSe2N at its relaxed geometry, from Alexandria.

Structure (extended XYZ):
```
5
Lattice="5.7580 0.0000 0.0000 0.0000 5.7580 0.0000 0.0000 0.0000 2.7936" Properties=species:S:1:pos:R:3 pbc="T T T"
Sr 0.0000 0.0000 0.0000
B 2.8790 2.8790 1.3968
Se 0.0000 2.8790 1.3968
Se 2.8790 0.0000 1.3968
N 2.8790 2.8790 0.0000
```

Values from the calculation:
For the total moment, the calculation gives 0.000 μB per formula unit. For the uncorrected formation energy, the calculation gives -1.67 eV per formula unit. The value obtained for the energy above the most stable polymorph in this dataset is 0.0 meV/atom. For the raw total energy, the calculation gives -25.3 eV for the cell shown.


Record 8
The following is a PBE calculation of crystalline TaBSe2N at its relaxed geometry, from Alexandria.

Structure (extended XYZ):
```
5
Lattice="5.1422 0.0000 0.0000 0.0000 5.1422 0.0000 0.0000 0.0000 3.9005" Properties=species:S:1:pos:R:3 pbc="T T T"
Ta 0.0000 0.0000 0.0000
B 2.5711 2.5711 1.9502
Se 0.0000 2.5711 0.0000
Se 2.5711 0.0000 0.0000
N 0.0000 0.0000 1.9502
```

Values from the calculation:
For the total moment, the calculation gives 0.156 μB per formula unit. For the uncorrected formation energy, the calculation gives 4.12 eV per formula unit. The value obtained for the energy above the most stable polymorph in this dataset is 480.1 meV/atom. For the raw total energy, the calculation gives -29.7 eV for the cell shown.


Record 9
The following is a PBE calculation of crystalline TaBSe2N at its relaxed geometry, from Alexandria.

Structure (extended XYZ):
```
5
Lattice="5.4009 0.0000 0.0000 0.0000 5.4009 0.0000 0.0000 0.0000 2.6956" Properties=species:S:1:pos:R:3 pbc="T T T"
Ta 0.0000 0.0000 0.0000
B 2.7005 2.7005 1.3478
Se 0.0000 2.7005 1.3478
Se 2.7005 0.0000 1.3478
N 2.7005 2.7005 0.0000
```

Values from the calculation:
For the total moment, the calculation gives 0.000 μB per formula unit. For the uncorrected formation energy, the calculation gives 1.72 eV per formula unit. The value obtained for the energy above the most stable polymorph in this dataset is 0.0 meV/atom. For the raw total energy, the calculation gives -32.1 eV for the cell shown.


Record 10
The following is a PBE calculation of crystalline TaBSeN2 at its relaxed geometry, from Alexandria.

Structure (extended XYZ):
```
5
Lattice="3.6149 0.0000 0.0000 0.0000 3.6149 0.0000 0.0000 0.0000 4.2304" Properties=species:S:1:pos:R:3 pbc="T T T"
Ta 0.0000 0.0000 0.0000
B 1.8074 1.8074 2.1152
Se 1.8074 1.8074 0.0000
N 0.0000 1.8074 2.1152
N 1.8074 0.0000 2.1152
```

Values from the calculation:
For the total moment, the calculation gives 0.000 μB per formula unit. For the uncorrected formation energy, the calculation gives 6.30 eV per formula unit. The value obtained for the energy above the most stable polymorph in this dataset is 276.4 meV/atom. For the raw total energy, the calculation gives -32.4 eV for the cell shown.


Record 11
The following is a PBE calculation of crystalline TaBSeN2 at its relaxed geometry, from Alexandria.

Structure (extended XYZ):
```
5
Lattice="3.9258 0.0000 0.0000 0.0000 3.9258 0.0000 0.0000 0.0000 5.4935" Properties=species:S:1:pos:R:3 pbc="T T T"
Ta 0.0000 0.0000 0.0000
B 1.9629 1.9629 2.7468
Se 0.0000 0.0000 2.7468
N 0.0000 1.9629 0.0000
N 1.9629 0.0000 0.0000
```

Values from the calculation:
For the total moment, the calculation gives 0.001 μB per formula unit. For the uncorrected formation energy, the calculation gives 4.91 eV per formula unit. The value obtained for the energy above the most stable polymorph in this dataset is 0.0 meV/atom. For the raw total energy, the calculation gives -33.8 eV for the cell shown.


Record 12
The following is a PBE calculation of crystalline TcBSeN2 at its relaxed geometry, from Alexandria.

Structure (extended XYZ):
```
5
Lattice="3.7594 0.0000 0.0000 0.0000 3.7594 0.0000 0.0000 0.0000 5.4005" Properties=species:S:1:pos:R:3 pbc="T T T"
Tc 0.0000 0.0000 0.0000
B 1.8797 1.8797 2.7002
Se 0.0000 0.0000 2.7002
N 0.0000 1.8797 0.0000
N 1.8797 0.0000 0.0000
```

Values from the calculation:
For the total moment, the calculation gives 0.007 μB per formula unit. For the uncorrected formation energy, the calculation gives 6.17 eV per formula unit. The value obtained for the energy above the most stable polymorph in this dataset is 0.0 meV/atom. For the raw total energy, the calculation gives -31.0 eV for the cell shown.


What is the raw total energy in the sixth record?
-15.0 eV for the cell shown


raw total energy of number 12 (TcBSeN2)?
-31.0 eV for the cell shown


Repeat the ninth record exactly.
The following is a PBE calculation of crystalline TaBSe2N at its relaxed geometry, from Alexandria.

Structure (extended XYZ):
```
5
Lattice="5.4009 0.0000 0.0000 0.0000 5.4009 0.0000 0.0000 0.0000 2.6956" Properties=species:S:1:pos:R:3 pbc="T T T"
Ta 0.0000 0.0000 0.0000
B 2.7005 2.7005 1.3478
Se 0.0000 2.7005 1.3478
Se 2.7005 0.0000 1.3478
N 2.7005 2.7005 0.0000
```

Values from the calculation:
For the total moment, the calculation gives 0.000 μB per formula unit. For the uncorrected formation energy, the calculation gives 1.72 eV per formula unit. The value obtained for the energy above the most stable polymorph in this dataset is 0.0 meV/atom. For the raw total energy, the calculation gives -32.1 eV for the cell shown.